First-principles (PBE) data for a relaxed BeAsOs2 crystal, as listed in the Alexandria database.

```
4
Lattice="4.286 -0.016 0.001 3.331 2.698 0.001 1.064 0.375 4.604" Properties=species:S:1:pos:R:3 pbc="T T T"
Os 4.510 1.588 2.200
Os 7.447 2.622 0.105
As 6.510 2.293 3.454
Be 2.170 0.764 1.151
```

Output
**ΔE_f**: 0.229 eV per atom
**Space-group type**: C2/m, No. 12

First-principles (PBE) data for a relaxed KTiAl crystal, as listed in the Alexandria database.

```
6
Lattice="-3.396 0.664 -1.325 -0.474 -3.964 -0.770 -4.988 -3.557 10.978" Properties=species:S:1:pos:R:3 pbc="T T T"
Al -4.974 -3.529 1.442
Al -4.059 -4.130 3.976
Ti -3.052 -1.882 2.521
Ti -5.506 -1.811 3.666
K -5.058 -2.612 7.271
K -3.533 -1.190 -1.115
```

Output
**ΔE_f**: 0.098 eV per atom
**Space-group type**: P1, No. 1